[1]
## Ca2AsPd6Pb (PBE-GGA)

Data for Ca2AsPd6Pb after structural relaxation.

abc: 5.6084 8.7020 8.8763
angles: 90.00 90.00 90.00
Closest atoms and distances in Å follow each position.
Positions (direct):
Pd  0.2482  0.9908  0.5000  1 As 2.52, 5 Pd 2.75-2.78, 1 Pb 2.77
Pd  0.2514  0.4570  0.5000  1 As 2.42, 1 Pb 2.66
Pd  0.7486  0.4570  0.5000  1 As 2.42, 1 Pb 2.66
Pd  0.2518  0.0092  0.0000  1 As 2.52, 5 Pd 2.75-2.78, 1 Pb 2.77
Pd  0.5000  0.0972  0.7473  1 As 2.48, 4 Pd 2.75-2.77, 1 Pb 2.77
Pd  0.7482  0.0092  0.0000  1 As 2.52, 5 Pd 2.75-2.78, 1 Pb 2.77
Pd  0.7514  0.5430  0.0000  1 As 2.42, 1 Pb 2.66
Pd  0.5000  0.0972  0.2527  1 As 2.48, 4 Pd 2.75-2.77, 1 Pb 2.77
Pd  0.7518  0.9908  0.5000  1 As 2.52, 5 Pd 2.75-2.78, 1 Pb 2.77
Pd  0.0000  0.9028  0.7527  1 As 2.48, 4 Pd 2.75-2.77, 1 Pb 2.77
Pd  0.2486  0.5430  0.0000  1 As 2.42, 1 Pb 2.66
Pd  0.0000  0.9028  0.2473  1 As 2.48, 4 Pd 2.75-2.77, 1 Pb 2.77
Ca  0.5000  0.7412  0.2437  7 Pd 3.10-3.45
Ca  0.0000  0.2588  0.2563  7 Pd 3.10-3.45
Ca  0.0000  0.2588  0.7437  7 Pd 3.10-3.45
Ca  0.5000  0.7412  0.7563  7 Pd 3.10-3.45
As  0.0000  0.7700  0.0000  6 Pd 2.42-2.52
As  0.5000  0.2300  0.5000  6 Pd 2.42-2.52
Pb  0.5000  0.2838  0.0000  6 Pd 2.66-2.77
Pb  0.0000  0.7162  0.5000  6 Pd 2.66-2.77

[2]
## NbIrRu (PBE-GGA)

Data for NbIrRu after structural relaxation.

abc: 5.3492 3.7467 3.7856
angles: 90.00 90.00 45.54
Closest atoms and distances in Å follow each position.
Positions (direct):
Ru  0.0000  0.5000  0.0000  4 Ir 2.66, 4 Nb 2.67
Ir  0.0000  0.0000  0.5000  4 Ru 2.66, 4 Nb 2.69
Nb  0.5000  0.5000  0.0000  4 Ru 2.67, 4 Ir 2.69

[3]
## AcNdLuMg (PBE-GGA)

Data for AcNdLuMg after structural relaxation.

abc: 5.7225 5.7225 5.7225
angles: 60.00 60.00 60.00
Closest atoms and distances in Å follow each position.
Positions (direct):
Mg  0.0000  0.0000  0.0000  4 Nd 3.50, 4 Ac 3.50
Lu  0.5000  0.5000  0.5000  4 Ac 3.50, 4 Nd 3.50
Nd  0.7500  0.7500  0.7500  4 Mg 3.50, 4 Lu 3.50
Ac  0.2500  0.2500  0.2500  4 Mg 3.50, 4 Lu 3.50

Per-record uncorrected energy, hartree per atom: -0.1792; -0.3329; -0.1367
Per-record energy of formation, eV/atom: -0.524; 0.344; 0.027
Per-record D(E_F), states/eV/f.u.: 4.9; 2.8; 4.4